# 1
Zr2PaP4: optimized geometry, PBE.

Results
Symmetry: No. 63
Calculated formation energy, eV per atom: -1.10

a b c (Å): 3.7907 6.3643 12.3999
angles (deg): 90.00 90.00 107.33
Fractional positions:
Zr (0.1343, 0.2685, 0.4422)
Zr (0.8657, 0.7315, 0.5578)
Zr (0.8657, 0.7315, 0.9422)
Zr (0.1343, 0.2685, 0.0578)
P (0.0525, 0.1050, 0.2500)
P (0.2311, 0.4623, 0.6329)
P (0.9475, 0.8950, 0.7500)
P (0.7689, 0.5377, 0.1329)
P (0.2311, 0.4623, 0.8671)
P (0.5000, 0.0000, 0.0000)
P (0.7689, 0.5377, 0.3671)
P (0.5000, 0.0000, 0.5000)
Pa (0.6103, 0.2207, 0.7500)
Pa (0.3897, 0.7793, 0.2500)

---

# 2
TlCu3I: optimized geometry, PBE.

Results
Symmetry: No. 221
Total energy, eV per atom: -2.380

a b c (Å): 5.0292 5.0292 5.0292
angles (deg): 90.00 90.00 90.00
Fractional positions:
Cu (0.5000, 0.0000, 0.0000)
Cu (0.0000, 0.5000, 0.0000)
Cu (0.0000, 0.0000, 0.5000)
Tl (0.0000, 0.0000, 0.0000)
I (0.5000, 0.5000, 0.5000)

---

# 3
Li2VSiPb: optimized geometry, PBE.

Results
Symmetry: No. 123
Total energy, eV per atom: -4.136

a b c (Å): 4.5151 4.6780 4.5151
angles (deg): 90.00 90.00 90.00
Fractional positions:
V (0.0000, 0.5000, 0.0000)
Pb (0.5000, 0.5000, 0.5000)
Si (0.0000, 0.0000, 0.0000)
Li (0.5000, 0.0000, 0.0000)
Li (0.0000, 0.0000, 0.5000)

---

# 4
ScBe2Se: optimized geometry, PBE.

Results
Symmetry: No. 71
Total energy, eV per atom: -4.384

a b c (Å): 5.3576 5.3576 5.3576
angles (deg): 142.34 138.72 57.11
Fractional positions:
Sc (0.2500, 0.7500, 0.5000)
Se (0.7500, 0.2500, 0.5000)
Be (0.9931, 0.9931, 0.0000)
Be (0.5069, 0.5069, 0.0000)

---

no.,D(E_F) (states/eV per atom)
1,0.365
2,0.657
3,0.991
4,0.272